Record 1
The following is a DFT calculation (PBE) of a relaxed structure of CuPRu3.

CIF file:
```
data_CuPRu3
_cell_length_a 4.4239
_cell_length_b 4.4239
_cell_length_c 4.4239
_cell_angle_alpha 90.00
_cell_angle_beta 90.00
_cell_angle_gamma 90.00
_symmetry_space_group_name_H-M 'P m -3 m'
_symmetry_Int_Tables_number 221
_symmetry_space_group_name_Hall '-P 4 2 3'
loop_
_atom_site_label
_atom_site_type_symbol
_atom_site_fract_x
_atom_site_fract_y
_atom_site_fract_z
_atom_site_occupancy
Cu1 Cu 0.0000 0.0000 0.0000 1
P1 P 0.5000 0.5000 0.5000 1
Ru1 Ru 0.0000 0.0000 0.5000 1
```

size of the total moment	0.00	μB per cell
formation energy	1797	meV/atom

***

Record 2
The following is a DFT calculation (PBE) of a relaxed structure of SrCuPRu.

CIF file:
```
data_SrCuPRu
_cell_length_a 3.9751
_cell_length_b 3.9751
_cell_length_c 10.6706
_cell_angle_alpha 90.00
_cell_angle_beta 90.00
_cell_angle_gamma 90.00
_symmetry_space_group_name_H-M 'P 4/n m m'
_symmetry_Int_Tables_number 129
loop_
_symmetry_equiv_pos_as_xyz
'x,y,z'
'-x,-y,-z'
'-y+1/2,x,z'
'y+1/2,-x,-z'
'-x+1/2,-y+1/2,z'
'x+1/2,y+1/2,-z'
'y,-x+1/2,z'
'-y,x+1/2,-z'
'x+1/2,-y,-z'
'-x+1/2,y,z'
'-y,-x,-z'
'y,x,z'
'-x,y+1/2,-z'
'x,-y+1/2,z'
'y+1/2,x+1/2,-z'
'-y+1/2,-x+1/2,z'
loop_
_atom_site_label
_atom_site_type_symbol
_atom_site_fract_x
_atom_site_fract_y
_atom_site_fract_z
_atom_site_occupancy
Sr1 Sr 0.2500 0.2500 0.2379 1
Cu1 Cu 0.2500 0.7500 0.0000 1
P1 P 0.2500 0.2500 0.6134 1
Ru1 Ru 0.2500 0.7500 0.5000 1
```

size of the total moment	0.00	μB per cell
formation energy	-489	meV/atom

***

Record 3
The following is a DFT calculation (PBE) of a relaxed structure of SrCuP2Ru.

CIF file:
```
data_SrCuP2Ru
_cell_length_a 5.3559
_cell_length_b 5.3559
_cell_length_c 4.9502
_cell_angle_alpha 90.00
_cell_angle_beta 90.00
_cell_angle_gamma 90.00
_symmetry_space_group_name_H-M 'P 4/m m m'
_symmetry_Int_Tables_number 123
_symmetry_space_group_name_Hall '-P 4 2'
loop_
_atom_site_label
_atom_site_type_symbol
_atom_site_fract_x
_atom_site_fract_y
_atom_site_fract_z
_atom_site_occupancy
Sr1 Sr 0.0000 0.0000 0.0000 1
Cu1 Cu 0.5000 0.5000 0.5000 1
P1 P 0.0000 0.5000 0.0000 1
Ru1 Ru 0.0000 0.0000 0.5000 1
```

size of the total moment	0.25	μB per cell
formation energy	2119	meV/atom